CsSb2I8: optimized geometry, PBE-GGA.

Structure (POSCAR):
```
CsSb2I8
1.0
7.7662 -4.1132 0.0000
7.7662 4.1132 0.0000
-2.4810 0.0000 10.0514
Cs Sb I
1 2 8
Cartesian
0.0000 0.0000 0.0000 Cs
1.8568 0.0000 6.8921 Sb
11.1946 0.0000 3.1594 Sb
4.9816 2.0111 2.1963 I
1.2394 0.0000 4.0779 I
8.0698 2.0111 7.8551 I
4.2571 0.0000 8.7802 I
8.7944 0.0000 1.2712 I
4.9816 -2.0111 2.1963 I
11.8120 0.0000 5.9736 I
8.0698 -2.0111 7.8551 I
```

Calculated volume = 642.2 Å³ per cell
Energy relative to the elements, uncorrected = -0.44 eV per atom
DOS at the Fermi energy = 0.58 states/eV per atom
Spin magnetization = 0.000 μB per atom



Cs3SbI: optimized geometry, PBE-GGA.

Structure (POSCAR):
```
Cs3SbI
1.0
6.4160 0.0000 0.0000
3.2051 6.2861 0.0000
3.2048 -1.5133 14.1077
Cs Sb I
6 2 2
Cartesian
0.0000 0.0000 0.0000 Cs
3.2084 3.6896 2.7029 Cs
6.4086 5.4119 6.4006 Cs
6.4127 0.3977 13.1848 Cs
6.4175 1.7783 3.6279 Cs
9.6188 3.0555 10.4093 Cs
6.4155 5.9304 2.4826 Sb
6.4150 4.0450 0.2209 Sb
3.2071 -0.8503 10.3256 I
9.6152 3.0287 6.4829 I
```

Calculated volume = 569.0 Å³ per cell
Polymorph energy (0 for the lowest one) = 0 meV/atom
Energy relative to the elements, uncorrected = -0.85 eV per atom
Spin magnetization = 0.000 μB per atom



Cs2Sb2I7: optimized geometry, PBE-GGA.

Structure (POSCAR):
```
Cs2Sb2I7
1.0
5.9669 -9.7780 0.0000
5.9669 9.7780 0.0000
-1.6859 0.0000 4.8468
Cs Sb I
2 2 7
Cartesian
5.9669 6.0251 0.0000 Cs
5.9669 -6.0251 0.0000 Cs
2.3333 0.0000 3.8924 Sb
7.9146 0.0000 0.9544 Sb
2.0065 3.0147 3.8259 I
1.2234 0.0000 1.2842 I
2.0065 -3.0147 3.8259 I
5.1240 0.0000 2.4234 I
8.2414 3.0147 1.0210 I
9.0245 0.0000 3.5626 I
8.2414 -3.0147 1.0210 I
```

Calculated volume = 565.6 Å³ per cell
Energy relative to the elements, uncorrected = -0.69 eV per atom
DOS at the Fermi energy = 0.12 states/eV per atom
Spin magnetization = 0.000 μB per atom



Cs2SbI4: optimized geometry, PBE-GGA.

Structure (POSCAR):
```
Cs2SbI4
1.0
-3.1501 3.1501 9.5046
3.1501 -3.1501 9.5046
3.1501 3.1501 -9.5046
Cs Sb I
2 1 4
Cartesian
0.0000 0.0000 2.5550 Cs
0.0000 0.0000 16.4543 Cs
0.0000 0.0000 9.5046 Sb
3.1501 0.0000 0.0000 I
0.0000 0.0000 6.4307 I
0.0000 3.1501 0.0000 I
0.0000 0.0000 12.5786 I
```

Calculated volume = 377.3 Å³ per cell
Polymorph energy (0 for the lowest one) = 0 meV/atom
Energy relative to the elements, uncorrected = -0.96 eV per atom
DOS at the Fermi energy = 0.37 states/eV per atom
Spin magnetization = 0.000 μB per atom



Repeat the fourth record exactly.
Cs2SbI4: optimized geometry, PBE-GGA.

Structure (POSCAR):
```
Cs2SbI4
1.0
-3.1501 3.1501 9.5046
3.1501 -3.1501 9.5046
3.1501 3.1501 -9.5046
Cs Sb I
2 1 4
Cartesian
0.0000 0.0000 2.5550 Cs
0.0000 0.0000 16.4543 Cs
0.0000 0.0000 9.5046 Sb
3.1501 0.0000 0.0000 I
0.0000 0.0000 6.4307 I
0.0000 3.1501 0.0000 I
0.0000 0.0000 12.5786 I
```

Calculated volume = 377.3 Å³ per cell
Polymorph energy (0 for the lowest one) = 0 meV/atom
Energy relative to the elements, uncorrected = -0.96 eV per atom
DOS at the Fermi energy = 0.37 states/eV per atom
Spin magnetization = 0.000 μB per atom